1.
First-principles (GGA-PBE) data for a relaxed Li4GaSnHg2 crystal, as listed in the Open Quantum Materials Database.

Cell and atoms, written as CIF:
```
data_Li4GaSnHg2
_symmetry_space_group_name_H-M 'P 1'
_symmetry_Int_Tables_number 1
_cell_length_a 4.6495
_cell_length_b 4.6495
_cell_length_c 6.6120
_cell_angle_alpha 90.00
_cell_angle_beta 90.00
_cell_angle_gamma 90.00
loop_
_symmetry_equiv_pos_as_xyz
'x,y,z'
loop_
_atom_site_label
_atom_site_fract_x
_atom_site_fract_y
_atom_site_fract_z
Li1 0.0000 0.0000 0.0000
Li2 0.0000 0.5000 0.7394
Li3 0.5000 0.0000 0.2606
Li4 0.5000 0.5000 0.5000
Ga1 0.0000 0.0000 0.5000
Sn1 0.5000 0.5000 0.0000
Hg1 0.0000 0.5000 0.2705
Hg2 0.5000 0.0000 0.7295
```

Computed properties:
final energy: -2.249 eV/atom

=====

2.
First-principles (GGA-PBE) data for a relaxed Li4Zn2GaHg crystal, as listed in the Open Quantum Materials Database.

Cell and atoms, written as CIF:
```
data_Li4Zn2GaHg
_symmetry_space_group_name_H-M 'P 1'
_symmetry_Int_Tables_number 1
_cell_length_a 4.4058
_cell_length_b 4.4058
_cell_length_c 6.3075
_cell_angle_alpha 90.00
_cell_angle_beta 90.00
_cell_angle_gamma 90.00
loop_
_symmetry_equiv_pos_as_xyz
'x,y,z'
loop_
_atom_site_label
_atom_site_fract_x
_atom_site_fract_y
_atom_site_fract_z
Li1 0.0000 0.0000 0.0000
Li2 0.0000 0.5000 0.2423
Li3 0.5000 0.0000 0.7577
Li4 0.5000 0.5000 0.5000
Zn1 0.0000 0.5000 0.7679
Zn2 0.5000 0.0000 0.2321
Ga1 0.5000 0.5000 0.0000
Hg1 0.0000 0.0000 0.5000
```

Computed properties:
final energy: -1.984 eV/atom